Record 1
A geometry-optimized Zr2Ti3Zn2 structure, computed with PBE.

## Properties
volume	18.248	Å³/atom
ΔE_f	-0.05	eV/atom
symmetry	No. 65

Geometry as extended XYZ:
```
14
Lattice="2.948 0.000 0.000 0.000 28.963 0.000 0.000 0.000 2.992" Properties=species:S:1:pos:R:3 pbc="T T T"
Zr 0.000 5.813 0.000
Zr 0.000 23.150 0.000
Zr 1.474 8.669 0.000
Zr 1.474 20.294 0.000
Ti 0.000 1.947 0.000
Ti 0.000 14.481 1.496
Ti 0.000 27.016 0.000
Ti 1.474 0.000 1.496
Ti 1.474 12.534 0.000
Ti 1.474 16.428 0.000
Zn 0.000 10.674 1.496
Zn 0.000 18.288 1.496
Zn 1.474 3.807 1.496
Zn 1.474 25.156 1.496
```

=====

Record 2
A geometry-optimized ZrTiZn2 structure, computed with PBE.

## Properties
volume	17.073	Å³/atom
ΔE_f	-0.23	eV/atom
symmetry	No. 123

Geometry as extended XYZ:
```
4
Lattice="3.233 0.000 0.000 0.000 3.233 0.000 0.000 0.000 6.534" Properties=species:S:1:pos:R:3 pbc="T T T"
Zr 0.000 0.000 0.000
Ti 0.000 0.000 3.267
Zn 1.616 1.616 1.789
Zn 1.616 1.616 4.745
```

=====

Record 3
A geometry-optimized Zr2TiZn4 structure, computed with PBE.

## Properties
volume	18.767	Å³/atom
ΔE_f	-0.04	eV/atom
symmetry	No. 139

Geometry as extended XYZ:
```
14
Lattice="4.587 0.000 0.000 0.000 4.587 0.000 0.000 0.000 12.487" Properties=species:S:1:pos:R:3 pbc="T T T"
Zr 0.000 0.000 3.068
Zr 0.000 0.000 9.419
Zr 2.294 2.294 3.176
Zr 2.294 2.294 9.311
Ti 0.000 0.000 6.243
Ti 2.294 2.294 0.000
Zn 0.000 2.294 1.316
Zn 0.000 2.294 4.927
Zn 0.000 2.294 7.560
Zn 0.000 2.294 11.171
Zn 2.294 0.000 1.316
Zn 2.294 0.000 4.927
Zn 2.294 0.000 7.560
Zn 2.294 0.000 11.171
```

=====

Record 4
A geometry-optimized ZrTiZn structure, computed with PBE.

## Properties
volume	19.071	Å³/atom
ΔE to the lowest computed polymorph	112.6	meV/atom
ΔE_f	0.02	eV/atom
symmetry	No. 166

Geometry as extended XYZ:
```
6
Lattice="2.264 1.307 6.446 -2.264 1.307 6.446 0.000 -2.614 6.446" Properties=species:S:1:pos:R:3 pbc="T T T"
Zr 0.000 0.000 4.102
Zr 0.000 0.000 15.236
Ti 0.000 0.000 7.072
Ti 0.000 0.000 12.265
Zn 0.000 0.000 1.222
Zn 0.000 0.000 18.115
```

=====

| no. | mass density (g cm⁻³) |
| --- | --- |
| 1 | 5.9 |
| 2 | 6.6 |
| 3 | 6.2 |
| 4 | 5.9 |